Entry 1:
Material: NdRh2
Method: DFT, GGA-PBE
State: optimized geometry

```
NdRh2
1.0
-2.477 1.993 1.694
-2.103 -2.904 0.344
4.178 -0.474 2.878
Rh Nd
2 1
Direct
0.670 0.670 0.342
0.330 0.330 0.658
0.000 0.000 0.000
```

**D(E_F)**: 1.424 states/eV per atom
**ΔE_f**: -0.193 eV/atom
**DFT total energy**: -6.684 eV per atom

Entry 2:
Material: TiTcNi
Method: DFT, GGA-PBE
State: optimized geometry

```
TiTcNi
1.0
-1.761 1.226 1.539
1.829 -1.049 4.474
3.268 5.583 1.288
Tc Ti Ni
2 2 2
Direct
0.981 0.838 0.551
0.833 0.630 0.212
0.697 0.467 0.848
0.321 0.132 0.211
0.355 0.312 0.536
0.251 0.968 0.880
```

**Energy above the most stable polymorph in this dataset**: 0.072 eV/atom
**D(E_F)**: 0.978 states/eV per atom
**ΔE_f**: -0.207 eV/atom
**DFT total energy**: -8.221 eV per atom

Entry 3:
Material: AcAu2I6
Method: DFT, GGA-PBE
State: optimized geometry

```
AcAu2I6
1.0
-1.052 -3.930 -6.474
-4.887 -8.334 4.790
-10.338 2.857 -1.117
Au I Ac
4 12 2
Direct
0.736 0.663 0.545
0.764 0.455 0.337
0.236 0.545 0.663
0.264 0.337 0.455
0.883 0.865 0.395
0.610 0.278 0.499
0.110 0.499 0.278
0.616 0.953 0.818
0.390 0.722 0.501
0.884 0.182 0.047
0.384 0.047 0.182
0.117 0.135 0.605
0.617 0.605 0.135
0.383 0.395 0.865
0.890 0.501 0.722
0.116 0.818 0.953
0.250 0.108 0.892
0.750 0.892 0.108
```

**D(E_F)**: 0.188 states/eV per atom
**Formation energy (no corrections)**: -0.654 eV per atom
**DFT total energy**: -2.872 eV per atom

Entry 4:
Material: ZnAsWSe2
Method: DFT, GGA-PBE
State: optimized geometry

```
ZnAsWSe2
1.0
4.829 0.000 0.000
0.000 4.829 0.000
0.000 0.000 4.676
Zn Se W As
1 2 1 1
Direct
0.000 0.000 0.000
0.000 0.500 0.000
0.500 0.000 0.000
0.500 0.500 0.500
0.000 0.000 0.500
```

**Energy above the most stable polymorph in this dataset**: 0.858 eV/atom
**D(E_F)**: 0.471 states/eV per atom
**Formation energy (no corrections)**: 1.263 eV per atom
**DFT total energy**: -3.906 eV per atom

Entry 5:
Material: Na2YCdPt
Method: DFT, GGA-PBE
State: optimized geometry

```
Na2YCdPt
1.0
5.069 0.000 0.000
0.000 5.069 0.000
0.000 0.000 5.252
Cd Na Y Pt
1 2 1 1
Direct
0.000 0.000 0.000
0.000 0.500 0.000
0.500 0.000 0.000
0.500 0.500 0.500
0.000 0.000 0.500
```

**D(E_F)**: 0.941 states/eV per atom
**ΔE_f**: 0.308 eV/atom
**DFT total energy**: -2.904 eV per atom

Entry 6:
Material: La2PmNd5In
Method: DFT, GGA-PBE
State: optimized geometry

```
La2PmNd5In
1.0
-3.723 3.744 -1.962
1.852 -6.596 -8.018
-8.210 -6.400 3.368
Nd La Pm In
10 4 2 2
Direct
0.383 0.766 0.008
0.013 0.025 0.008
0.617 0.234 0.508
0.288 0.576 0.313
0.987 0.975 0.508
0.712 0.424 0.813
0.289 0.579 0.705
0.711 0.421 0.205
0.500 0.000 0.758
0.500 0.000 0.258
0.883 0.765 0.804
0.882 0.764 0.212
0.118 0.236 0.712
0.117 0.235 0.304
0.200 0.400 0.009
0.800 0.600 0.509
0.406 0.813 0.507
0.594 0.187 0.007
```

**D(E_F)**: 1.367 states/eV per atom
**ΔE_f**: -0.026 eV/atom
**DFT total energy**: -4.602 eV per atom

Entry 7:
Material: Ni2PtBr2
Method: DFT, GGA-PBE
State: optimized geometry

```
Ni2PtBr2
1.0
3.651 -1.375 3.348
1.690 4.722 1.128
-4.916 -1.474 0.293
Ni Pt Br
2 1 2
Direct
0.667 0.667 0.000
0.333 0.333 0.000
0.000 0.000 0.000
0.750 0.250 0.500
0.250 0.750 0.500
```

**D(E_F)**: 0.967 states/eV per atom
**Formation energy (no corrections)**: 0.660 eV per atom
**DFT total energy**: -3.530 eV per atom

Entry 8:
Material: K4RbCd4
Method: DFT, GGA-PBE
State: optimized geometry

```
K4RbCd4
1.0
7.171 0.000 0.000
0.000 11.383 0.000
0.000 0.000 11.383
Cd K Rb
8 8 2
Direct
0.864 0.722 0.147
0.136 0.853 0.722
0.864 0.278 0.853
0.136 0.147 0.278
0.636 0.222 0.647
0.364 0.353 0.222
0.636 0.778 0.353
0.364 0.647 0.778
0.369 0.672 0.093
0.631 0.093 0.328
0.631 0.907 0.672
0.869 0.593 0.828
0.369 0.328 0.907
0.869 0.407 0.172
0.131 0.172 0.593
0.131 0.828 0.407
0.500 0.500 0.500
0.000 0.000 0.000
```

**D(E_F)**: 0.637 states/eV per atom
**ΔE_f**: 0.030 eV/atom
**DFT total energy**: -0.972 eV per atom

Entry 9:
Material: Rb2Ce2DyS6
Method: DFT, GGA-PBE
State: optimized geometry

```
Rb2Ce2DyS6
1.0
7.129 -0.017 0.076
-3.538 6.189 0.076
-1.268 -2.180 7.764
Rb S Ce Dy
2 6 2 1
Direct
0.833 0.167 0.000
0.167 0.833 0.000
0.265 0.265 0.314
0.392 0.059 0.686
0.608 0.941 0.314
0.059 0.392 0.686
0.735 0.735 0.686
0.941 0.608 0.314
0.666 0.334 0.500
0.334 0.666 0.500
0.000 0.000 0.500
```

**D(E_F)**: 0.562 states/eV per atom
**Formation energy (no corrections)**: -1.840 eV per atom
**DFT total energy**: -5.765 eV per atom

Entry 10:
Material: KErBi2
Method: DFT, GGA-PBE
State: optimized geometry

```
KErBi2
1.0
4.469 0.000 0.000
2.234 3.870 0.000
2.234 1.290 8.772
Bi Er K
2 1 1
Direct
0.266 0.266 0.202
0.068 0.068 0.796
0.668 0.668 0.997
0.499 0.499 0.504
```

**Energy above the most stable polymorph in this dataset**: 0.155 eV/atom
**D(E_F)**: 0.839 states/eV per atom
**ΔE_f**: -0.349 eV/atom
**DFT total energy**: -3.704 eV per atom

Entry 11:
Material: Y2MgGa4Pd3
Method: DFT, GGA-PBE
State: optimized geometry

```
Y2MgGa4Pd3
1.0
-3.860 1.131 0.421
-1.156 -3.869 -0.209
0.998 -0.926 11.634
Mg Pd Y Ga
1 3 2 4
Direct
0.500 0.500 0.500
0.500 0.000 0.861
0.000 0.500 0.139
0.000 0.000 0.500
0.000 0.500 0.759
0.500 0.000 0.241
0.000 0.500 0.352
0.500 0.000 0.648
0.000 0.000 0.000
0.500 0.500 0.000
```

**D(E_F)**: 0.331 states/eV per atom
**ΔE_f**: -0.721 eV/atom
**DFT total energy**: -4.942 eV per atom

Entry 12:
Material: Tl2CdO
Method: DFT, GGA-PBE
State: optimized geometry

```
Tl2CdO
1.0
0.000 3.577 3.577
3.577 0.000 3.577
3.577 3.577 0.000
O Cd Tl
1 1 2
Direct
0.000 0.000 0.000
0.500 0.500 0.500
0.250 0.250 0.250
0.750 0.750 0.750
```

**Energy above the most stable polymorph in this dataset**: 0.292 eV/atom
**D(E_F)**: 0.126 states/eV per atom
**Formation energy (no corrections)**: 0.044 eV per atom
**DFT total energy**: -2.607 eV per atom